Version 1
First-principles (PBE) data for a relaxed structure of CsRbSbTe2, as listed in Alexandria.

abc: 6.621 6.621 6.665
angles: 90.00 90.00 90.00
Last column: magnetic moment on the atom in μB.
Fractional positions:
Cs (0.500, 0.500, 0.500)  0.01
Te (0.500, 0.000, 0.000)  -0.04
Te (0.000, 0.500, 0.000)  -0.04
Sb (0.000, 0.000, 0.500)  0.85
Rb (0.000, 0.000, 0.000)  0.03

Computed properties:
**M_tot**: 2.1 Bohr magnetons per cell


Version 2
First-principles (PBE) data for a relaxed structure of CsRbSbTe2, as listed in Alexandria.

abc: 7.364 7.336 8.703
angles: 114.93 90.00 90.00
Fractional positions:
Te (0.234, 0.156, 0.311)
Te (0.766, 0.656, 0.311)
Te (0.234, 0.344, 0.689)
Te (0.766, 0.844, 0.689)
Sb (0.000, 0.500, 0.000)
Sb (0.000, 0.000, 0.000)
Cs (0.250, 0.750, 0.500)
Cs (0.750, 0.250, 0.500)
Rb (0.500, 0.750, 0.000)
Rb (0.500, 0.250, 0.000)

Computed properties:
**M_tot**: 0.0 Bohr magnetons per cell


What should be chosen as the most stable of them? Choose version 2.


Version 1
First-principles (PBE) data for a relaxed structure of CsRbSc2, as listed in Alexandria.

abc: 7.796 7.796 7.796
angles: 43.84 43.84 43.84
Fractional positions:
Cs (0.500, 0.500, 0.500)
Sc (0.190, 0.190, 0.190)
Sc (0.810, 0.810, 0.810)
Rb (0.000, 0.000, 0.000)

Computed properties:
**M_tot**: 0.0 Bohr magnetons per cell


Version 2
First-principles (PBE) data for a relaxed structure of CsRbSc2, as listed in Alexandria.

abc: 14.211 14.211 14.211
angles: 14.36 14.36 14.36
Fractional positions:
Rb (0.500, 0.500, 0.500)
Sc (0.083, 0.083, 0.083)
Sc (0.917, 0.917, 0.917)
Cs (0.000, 0.000, 0.000)

Computed properties:
**M_tot**: 0.0 Bohr magnetons per cell


What should be chosen as the most stable of them? Choose version 2.


Version 1
First-principles (PBE) data for a relaxed structure of CsRbSc3, as listed in Alexandria.

abc: 5.678 5.678 5.678
angles: 90.00 90.00 90.00
Fractional positions:
Sc (0.000, 0.000, 0.500)
Sc (0.500, 0.000, 0.000)
Sc (0.000, 0.500, 0.000)
Cs (0.000, 0.000, 0.000)
Rb (0.500, 0.500, 0.500)

Computed properties:
**M_tot**: 0.0 Bohr magnetons per cell


Version 2
First-principles (PBE) data for a relaxed structure of CsRbSc3, as listed in Alexandria.

abc: 5.809 5.809 5.809
angles: 90.00 90.00 90.00
Fractional positions:
Sc (0.000, 0.000, 0.500)
Sc (0.500, 0.000, 0.000)
Sc (0.000, 0.500, 0.000)
Cs (0.500, 0.500, 0.500)
Rb (0.000, 0.000, 0.000)

Computed properties:
**M_tot**: 0.0 Bohr magnetons per cell


What should be chosen as the most stable of them? Choose version 1.


Version 1
First-principles (PBE) data for a relaxed structure of CsRbSe2, as listed in Alexandria.

abc: 11.563 11.563 11.563
angles: 24.33 24.33 24.33
Last column: magnetic moment on the atom in μB.
Fractional positions:
Cs (0.500, 0.500, 0.500)  0.02
Se (0.096, 0.096, 0.096)  0.56
Se (0.904, 0.904, 0.904)  0.56
Rb (0.000, 0.000, 0.000)  0.00

Computed properties:
**M_tot**: 2.0 Bohr magnetons per cell


Version 2
First-principles (PBE) data for a relaxed structure of CsRbSe2, as listed in Alexandria.

abc: 9.651 9.651 7.550
angles: 50.28 50.28 90.00
Fractional positions:
Se (0.612, 0.125, 0.250)
Se (0.138, 0.625, 0.250)
Se (0.375, 0.388, 0.750)
Se (0.875, 0.862, 0.750)
Rb (0.500, 0.500, 0.000)
Rb (0.250, 0.750, 0.500)
Cs (0.000, 0.000, 0.000)
Cs (0.750, 0.250, 0.500)

Computed properties:
**M_tot**: 0.3 Bohr magnetons per cell


What should be chosen as the most stable of them? Choose version 2.


Version 1
First-principles (PBE) data for a relaxed structure of CsRbSi2, as listed in Alexandria.

abc: 10.143 10.143 7.785
angles: 49.35 49.35 90.00
Fractional positions:
Cs (0.000, 0.000, 0.000)
Cs (0.750, 0.250, 0.500)
Rb (0.250, 0.750, 0.500)
Rb (0.500, 0.500, 0.000)
Si (0.875, 0.872, 0.750)
Si (0.622, 0.125, 0.250)
Si (0.128, 0.625, 0.250)
Si (0.375, 0.378, 0.750)

Computed properties:
**M_tot**: 0.0 Bohr magnetons per cell


Version 2
First-principles (PBE) data for a relaxed structure of CsRbSi2, as listed in Alexandria.

abc: 7.761 6.741 11.065
angles: 90.00 90.00 90.00
Fractional positions:
Rb (0.750, 0.643, 0.837)
Rb (0.250, 0.857, 0.337)
Rb (0.750, 0.143, 0.663)
Rb (0.250, 0.357, 0.163)
Si (0.397, 0.870, 0.007)
Si (0.103, 0.870, 0.007)
Si (0.397, 0.370, 0.493)
Si (0.897, 0.130, 0.993)
Si (0.603, 0.130, 0.993)
Si (0.103, 0.370, 0.493)
Si (0.897, 0.630, 0.507)
Si (0.603, 0.630, 0.507)
Cs (0.750, 0.123, 0.333)
Cs (0.250, 0.877, 0.667)
Cs (0.750, 0.623, 0.167)
Cs (0.250, 0.377, 0.833)

Computed properties:
**M_tot**: 0.0 Bohr magnetons per cell


Version 3
First-principles (PBE) data for a relaxed structure of CsRbSi2, as listed in Alexandria.

abc: 5.914 5.914 5.914
angles: 60.00 60.00 60.00
Fractional positions:
Cs (0.500, 0.500, 0.500)
Si (0.250, 0.250, 0.250)
Si (0.750, 0.750, 0.750)
Rb (0.000, 0.000, 0.000)

Computed properties:
**M_tot**: 0.0 Bohr magnetons per cell


What should be chosen as the most stable of them? Choose version 2.


Version 1
First-principles (PBE) data for a relaxed structure of CsRbSn4, as listed in Alexandria.

abc: 6.637 6.637 6.637
angles: 60.00 60.00 60.00
Fractional positions:
Sn (0.624, 0.127, 0.624)
Sn (0.624, 0.624, 0.127)
Sn (0.624, 0.624, 0.624)
Sn (0.127, 0.624, 0.624)
Rb (0.250, 0.250, 0.250)
Cs (0.000, 0.000, 0.000)

Computed properties:
**M_tot**: 0.0 Bohr magnetons per cell


Version 2
First-principles (PBE) data for a relaxed structure of CsRbSn4, as listed in Alexandria.

abc: 4.729 7.982 7.982
angles: 104.72 72.77 72.77
Fractional positions:
Cs (0.500, 0.500, 0.500)
Sn (0.171, 0.040, 0.618)
Sn (0.829, 0.382, 0.960)
Sn (0.171, 0.618, 0.040)
Sn (0.829, 0.960, 0.382)
Rb (0.500, 0.000, 0.000)

Computed properties:
**M_tot**: 0.0 Bohr magnetons per cell


What should be chosen as the most stable of them? Choose version 2.